# 1
Density functional theory data (PBE) for an optimized crystal structure of TmAgSn2.

Total magnetic moment = 0.000 μB/cell
Energy relative to the lowest polymorph listed for this composition = 168 meV per atom

```
data_TmAgSn2
_cell_length_a 4.6595
_cell_length_b 4.6595
_cell_length_c 15.7146
_cell_angle_alpha 90.00
_cell_angle_beta 90.00
_cell_angle_gamma 120.00
_symmetry_space_group_name_H-M 'R -3 m'
_symmetry_Int_Tables_number 166
_symmetry_space_group_name_Hall '-R 3 2"'
loop_
_atom_site_label
_atom_site_fract_x
_atom_site_fract_y
_atom_site_fract_z
Tm1 0.0000 0.0000 0.0000
Ag1 0.0000 0.0000 0.5000
Sn1 0.0000 0.0000 0.2367
```

---

# 2
Density functional theory data (PBE) for an optimized crystal structure of Tm2AgSn4.

Electronic total energy = -4.34 eV per atom
Total magnetic moment = 0.000 μB/cell

```
data_Tm2AgSn4
_cell_length_a 4.441
_cell_length_b 4.441
_cell_length_c 9.157
_cell_angle_alpha 90.00
_cell_angle_beta 90.00
_cell_angle_gamma 90.00
_symmetry_space_group_name_H-M 'P -4 m 2'
_symmetry_Int_Tables_number 115
loop_
_symmetry_equiv_pos_as_xyz
'x,y,z'
'y,-x,-z'
'-x,-y,z'
'-y,x,-z'
'-x,y,z'
'-y,-x,-z'
'x,-y,z'
'y,x,-z'
loop_
_atom_site_label
_atom_site_fract_x
_atom_site_fract_y
_atom_site_fract_z
Tm1 0.000 0.500 0.227
Ag1 0.500 0.500 0.000
Sn1 0.000 0.000 0.500
Sn2 0.000 0.500 0.814
Sn3 0.500 0.500 0.500
```

---

# 3
Density functional theory data (PBE) for an optimized crystal structure of Tm5Ag2Sn5.

Electronic total energy = -4.56 eV per atom
Total magnetic moment = 0.000 μB/cell

```
data_Tm5Ag2Sn5
_cell_length_a 16.100
_cell_length_b 4.619
_cell_length_c 10.311
_cell_angle_alpha 90.00
_cell_angle_beta 128.97
_cell_angle_gamma 90.00
_symmetry_space_group_name_H-M 'C 1 2/m 1'
_symmetry_Int_Tables_number 12
loop_
_symmetry_equiv_pos_as_xyz
'x,y,z'
'-x,-y,-z'
'-x,y,-z'
'x,-y,z'
'x+1/2,y+1/2,z'
'-x+1/2,-y+1/2,-z'
'-x+1/2,y+1/2,-z'
'x+1/2,-y+1/2,z'
loop_
_atom_site_label
_atom_site_fract_x
_atom_site_fract_y
_atom_site_fract_z
Tm1 0.000 0.000 0.000
Tm2 0.104 0.000 0.418
Tm3 0.185 0.000 0.827
Ag1 0.145 0.500 0.257
Sn1 0.000 0.500 0.500
Sn2 0.067 0.500 0.865
Sn3 0.242 0.500 0.685
```

---

# 4
Density functional theory data (PBE) for an optimized crystal structure of Tm6Ag5Sn.

Electronic total energy = -4.15 eV per atom
Total magnetic moment = 0.000 μB/cell

```
data_Tm6Ag5Sn
_cell_length_a 5.100
_cell_length_b 7.244
_cell_length_c 15.343
_cell_angle_alpha 90.00
_cell_angle_beta 90.00
_cell_angle_gamma 90.00
_symmetry_space_group_name_H-M 'I m m m'
_symmetry_Int_Tables_number 71
_symmetry_space_group_name_Hall '-I 2 2'
loop_
_atom_site_label
_atom_site_fract_x
_atom_site_fract_y
_atom_site_fract_z
Tm1 0.000 0.243 0.000
Tm2 0.000 0.254 0.331
Ag1 0.000 0.000 0.166
Ag2 0.000 0.500 0.168
Ag3 0.000 0.500 0.500
Sn1 0.000 0.000 0.500
```

---

# 5
Density functional theory data (PBE) for an optimized crystal structure of TmAgSn2.

Total magnetic moment = 0.000 μB/cell
Energy relative to the lowest polymorph listed for this composition = 0 meV per atom

```
data_TmAgSn2
_cell_length_a 4.638
_cell_length_b 4.638
_cell_length_c 4.353
_cell_angle_alpha 90.00
_cell_angle_beta 90.00
_cell_angle_gamma 90.00
_symmetry_space_group_name_H-M 'P 4/m m m'
_symmetry_Int_Tables_number 123
_symmetry_space_group_name_Hall '-P 4 2'
loop_
_atom_site_label
_atom_site_fract_x
_atom_site_fract_y
_atom_site_fract_z
Tm1 0.000 0.000 0.000
Ag1 0.500 0.500 0.000
Sn1 0.000 0.500 0.500
```

---

# 6
Density functional theory data (PBE) for an optimized crystal structure of Tm2Ag2Sn.

Electronic total energy = -4.00 eV per atom
Total magnetic moment = 0.000 μB/cell

```
data_Tm2Ag2Sn
_cell_length_a 3.549
_cell_length_b 4.809
_cell_length_c 14.654
_cell_angle_alpha 90.00
_cell_angle_beta 90.00
_cell_angle_gamma 90.00
_symmetry_space_group_name_H-M 'I m m m'
_symmetry_Int_Tables_number 71
_symmetry_space_group_name_Hall '-I 2 2'
loop_
_atom_site_label
_atom_site_fract_x
_atom_site_fract_y
_atom_site_fract_z
Tm1 0.000 0.000 0.176
Ag1 0.000 0.000 0.381
Sn1 0.000 0.500 0.500
```

---

# 7
Density functional theory data (PBE) for an optimized crystal structure of YTmAgSn.

Electronic total energy = -4.95 eV per atom
Total magnetic moment = 1.240 μB/cell

```
data_YTmAgSn
_cell_length_a 7.359
_cell_length_b 7.359
_cell_length_c 7.359
_cell_angle_alpha 90.00
_cell_angle_beta 90.00
_cell_angle_gamma 90.00
_symmetry_space_group_name_H-M 'F -4 3 m'
_symmetry_Int_Tables_number 216
_symmetry_space_group_name_Hall 'F -4 2 3'
loop_
_atom_site_label
_atom_site_fract_x
_atom_site_fract_y
_atom_site_fract_z
Y1 0.000 0.000 0.000
Tm1 0.000 0.000 0.500
Ag1 0.250 0.250 0.750
Sn1 0.250 0.250 0.250
```

---

# 8
Density functional theory data (PBE) for an optimized crystal structure of TmZnAgSn.

Electronic total energy = -3.42 eV per atom
Total magnetic moment = 0.000 μB/cell

```
data_TmZnAgSn
_cell_length_a 6.954
_cell_length_b 6.954
_cell_length_c 6.954
_cell_angle_alpha 90.00
_cell_angle_beta 90.00
_cell_angle_gamma 90.00
_symmetry_space_group_name_H-M 'F -4 3 m'
_symmetry_Int_Tables_number 216
_symmetry_space_group_name_Hall 'F -4 2 3'
loop_
_atom_site_label
_atom_site_fract_x
_atom_site_fract_y
_atom_site_fract_z
Tm1 0.000 0.000 0.000
Zn1 0.250 0.250 0.250
Ag1 0.250 0.250 0.750
Sn1 0.000 0.000 0.500
```